(1)
The following is a DFT calculation (PBEsol) of a geometry-optimized NbRe2PdAu structure.

The formation energy is 2.16 eV per atom. For the density, the calculation gives 12.82 g cm⁻³.

The structure belongs to space group P4/mmm (No. 123); the cell edges are 4.6002, 4.6002 and 4.7058 Å and the angles 90.00°, 90.00° and 90.00°. The distinct sites, in fractional coordinates, are Nb at (0.0000, 0.0000, 0.0000), Re at (0.0000, 0.5000, 0.5000), Pd at (0.5000, 0.5000, 0.5000) and Au at (0.5000, 0.5000, 0.0000).

(2)
The following is a DFT calculation (PBEsol) of a geometry-optimized In2WBr structure.

The value obtained for the energy relative to the lowest polymorph listed for this composition is 0 meV/atom. For the density, the calculation gives 8.83 g cm⁻³.

The structure belongs to space group Imm2 (No. 44); the cell edges are 2.9899, 4.8653 and 12.7514 Å and the angles 90.00°, 90.00° and 90.00°. The distinct sites, in fractional coordinates, are In at (0.0000, 0.0000, 0.0000), In at (0.0000, 0.5000, 0.1758), W at (0.0000, 0.5000, 0.6953) and Br at (0.0000, 0.0000, 0.3590).

(3)
The following is a DFT calculation (PBEsol) of a geometry-optimized TlPbCl2 structure.

The value obtained for the energy relative to the lowest polymorph listed for this composition is 0 meV/atom. For the density, the calculation gives 7.86 g cm⁻³.

The structure belongs to space group P4/mmm (No. 123); the cell edges are 5.4367, 5.4367 and 3.4483 Å and the angles 90.00°, 90.00° and 90.00°. The distinct sites, in fractional coordinates, are Tl at (0.0000, 0.0000, 0.0000), Pb at (0.5000, 0.5000, 0.0000) and Cl at (0.0000, 0.5000, 0.5000).

(4)
The following is a DFT calculation (PBEsol) of a geometry-optimized Sr3Hg2 structure.

The formation energy is -0.48 eV per atom. For the density, the calculation gives 6.36 g cm⁻³.

The structure belongs to space group P4/mbm (No. 127); the cell edges are 8.7830, 8.7830 and 4.4951 Å and the angles 90.00°, 90.00° and 90.00°. The distinct sites, in fractional coordinates, are Sr at (0.0000, 0.0000, 0.0000), Sr at (0.1562, 0.3438, 0.5000) and Hg at (0.1379, 0.6379, 0.0000).

(5)
The following is a DFT calculation (PBEsol) of a geometry-optimized ScInP2 structure.

The formation energy is -0.52 eV per atom. For the density, the calculation gives 4.88 g cm⁻³.

The structure belongs to space group Imm2 (No. 44); the cell edges are 3.6144, 3.6509 and 11.4424 Å and the angles 90.00°, 90.00° and 90.00°. The distinct sites, in fractional coordinates, are Sc at (0.0000, 0.0000, 0.0000), In at (0.0000, 0.5000, 0.7484), P at (0.0000, 0.0000, 0.5588) and P at (0.0000, 0.5000, 0.3326).

(6)
The following is a DFT calculation (PBEsol) of a geometry-optimized BeIn2Os structure.

The formation energy is 0.32 eV per atom. For the density, the calculation gives 10.73 g cm⁻³.

The structure belongs to space group Imm2 (No. 44); the cell edges are 3.6204, 4.1805 and 8.7738 Å and the angles 90.00°, 90.00° and 90.00°. The distinct sites, in fractional coordinates, are Be at (0.0000, 0.0000, 0.0000), In at (0.0000, 0.0000, 0.4324), In at (0.0000, 0.5000, 0.2053) and Os at (0.0000, 0.5000, 0.6556).